# 1
DFT (PBE-GGA) results for a geometry-optimized La2ReI2 structure.

Unit cell a=7.3461 b=7.3461 c=5.1371 alpha=90.00 beta=90.00 gamma=90.00
Element x y z (fractional)
La (0.1667, 0.6667, 0.5000)
La (0.8333, 0.3333, 0.5000)
La (0.3333, 0.1667, 0.5000)
La (0.6667, 0.8333, 0.5000)
I (0.3385, 0.8385, 0.0000)
I (0.6615, 0.1615, 0.0000)
I (0.8385, 0.6615, 0.0000)
I (0.1615, 0.3385, 0.0000)
Re (0.5000, 0.5000, 0.0000)
Re (0.0000, 0.0000, 0.0000)

Summary:
**Distance to the lowest polymorph of the same formula**: 0.000 eV per atom
**Spin magnetization**: 1.8 Bohr magnetons per cell
**Total DFT energy (no corrections)**: -4.9506 eV per atom
**Formation energy from raw total energies**: 0.130 eV/atom

# 2
DFT (PBE-GGA) results for a geometry-optimized CaLa2Pr6Er3 structure.

Unit cell a=6.3829 b=6.3829 c=12.1118 alpha=95.03 beta=95.03 gamma=120.02
Element x y z (fractional)
Pr (0.2502, 0.2502, 0.7406)
Pr (0.4235, 0.0866, 0.2587)
Pr (0.7498, 0.7498, 0.2594)
Pr (0.0866, 0.4235, 0.2587)
Pr (0.9134, 0.5765, 0.7413)
Pr (0.5765, 0.9134, 0.7413)
Er (0.8340, 0.1660, 0.5000)
Er (0.1660, 0.8340, 0.5000)
Er (0.5000, 0.5000, 0.5000)
La (0.6670, 0.3330, 0.0000)
La (0.3330, 0.6670, 0.0000)
Ca (0.0000, 0.0000, 0.0000)

Summary:
**DFT formation energy**: 29 meV/atom
**Spin magnetization**: 0.0 Bohr magnetons per cell
**Total DFT energy (no corrections)**: -4.4891 eV per atom

# 3
DFT (PBE-GGA) results for a geometry-optimized Rb2GaPdI6 structure.

Unit cell a=8.1703 b=8.1703 c=8.1692 alpha=60.00 beta=60.00 gamma=90.00
Element x y z (fractional)
I (0.2450, 0.2450, 0.5100)
I (0.2431, 0.7569, 0.0000)
I (0.7550, 0.7550, 0.4900)
I (0.7569, 0.2431, 0.0000)
I (0.2431, 0.2431, 0.0000)
I (0.7569, 0.7569, 0.0000)
Pd (0.0000, 0.0000, 0.0000)
Rb (0.2500, 0.7500, 0.5000)
Rb (0.7500, 0.2500, 0.5000)
Ga (0.5000, 0.5000, 0.0000)

Summary:
**Spin magnetization**: 0.0 Bohr magnetons per cell
**Total DFT energy (no corrections)**: -2.6867 eV per atom
**Formation energy from raw total energies**: -0.741 eV/atom

# 4
DFT (PBE-GGA) results for a geometry-optimized Zn4FeSb structure.

Unit cell a=5.1572 b=5.1572 c=5.1572 alpha=60.00 beta=60.00 gamma=60.00
Element x y z (fractional)
Fe (0.7500, 0.7500, 0.7500)
Sb (0.0000, 0.0000, 0.0000)
Zn (0.8708, 0.3764, 0.3764)
Zn (0.3764, 0.3764, 0.3764)
Zn (0.3764, 0.8708, 0.3764)
Zn (0.3764, 0.3764, 0.8708)

Summary:
**Spin magnetization**: 1.9 Bohr magnetons per cell
**Total DFT energy (no corrections)**: -2.6796 eV per atom
**Formation energy from raw total energies**: 0.267 eV/atom

What did the second record say?
DFT (PBE-GGA) results for a geometry-optimized CaLa2Pr6Er3 structure.

Unit cell a=6.3829 b=6.3829 c=12.1118 alpha=95.03 beta=95.03 gamma=120.02
Element x y z (fractional)
Pr (0.2502, 0.2502, 0.7406)
Pr (0.4235, 0.0866, 0.2587)
Pr (0.7498, 0.7498, 0.2594)
Pr (0.0866, 0.4235, 0.2587)
Pr (0.9134, 0.5765, 0.7413)
Pr (0.5765, 0.9134, 0.7413)
Er (0.8340, 0.1660, 0.5000)
Er (0.1660, 0.8340, 0.5000)
Er (0.5000, 0.5000, 0.5000)
La (0.6670, 0.3330, 0.0000)
La (0.3330, 0.6670, 0.0000)
Ca (0.0000, 0.0000, 0.0000)

Summary:
**DFT formation energy**: 29 meV/atom
**Spin magnetization**: 0.0 Bohr magnetons per cell
**Total DFT energy (no corrections)**: -4.4891 eV per atom

Please write out number 4 again, unchanged.
DFT (PBE-GGA) results for a geometry-optimized Zn4FeSb structure.

Unit cell a=5.1572 b=5.1572 c=5.1572 alpha=60.00 beta=60.00 gamma=60.00
Element x y z (fractional)
Fe (0.7500, 0.7500, 0.7500)
Sb (0.0000, 0.0000, 0.0000)
Zn (0.8708, 0.3764, 0.3764)
Zn (0.3764, 0.3764, 0.3764)
Zn (0.3764, 0.8708, 0.3764)
Zn (0.3764, 0.3764, 0.8708)

Summary:
**Spin magnetization**: 1.9 Bohr magnetons per cell
**Total DFT energy (no corrections)**: -2.6796 eV per atom
**Formation energy from raw total energies**: 0.267 eV/atom